Density functional theory data (PBE-GGA) for a relaxed Pm5Pr3Sm3 crystal.

a b c (Å): 11.4236 11.4236 3.4978
angles (deg): 90.00 90.00 120.00
Space group P-62m (No. 189)
Inequivalent atoms, fractional coordinates:
Pm (0.0000, 0.1605, 0.0000) (multiplicity 3)
Pm (0.3333, 0.6667, 0.0000) (multiplicity 2)
Pr (0.0000, 0.6593, 0.0000) (multiplicity 3)
Sm (0.0000, 0.4031, 0.5000) (multiplicity 3)

Summary:
energy relative to the elements: 0.3022 eV per atom
total magnetic moment: 0.0 μB/f.u.